Compound: Mg17Zn11Pt
Source: Alexandria via LeMat-Bulk
Functional: GGA-PBE
Structure: optimized geometry

Geometry as CIF:
```
data_Mg17Zn11Pt
_chemical_formula_sum 'Mg34 Zn22 Pt2'
_symmetry_space_group_name_H-M 'C 1 m 1'
_symmetry_Int_Tables_number 8
_cell_length_a 10.251
_cell_length_b 14.015
_cell_length_c 8.767
_cell_angle_alpha 90.00
_cell_angle_beta 119.96
_cell_angle_gamma 90.00
loop_
_symmetry_equiv_pos_as_xyz
'x,y,z'
'x,-y,z'
'x+1/2,y+1/2,z'
'x+1/2,-y+1/2,z'
loop_
_atom_site_label
_atom_site_type_symbol
_atom_site_fract_x
_atom_site_fract_y
_atom_site_fract_z
_atom_site_occupancy
Mg1 Mg 0.000 0.000 0.000 1
Mg2 Mg 0.003 0.321 0.294 1
Mg3 Mg 0.024 0.326 0.715 1
Mg4 Mg 0.177 0.132 0.923 1
Mg5 Mg 0.178 0.500 0.295 1
Mg6 Mg 0.185 0.194 0.600 1
Mg7 Mg 0.188 0.500 0.931 1
Mg8 Mg 0.229 0.121 0.304 1
Mg9 Mg 0.312 0.000 0.647 1
Mg10 Mg 0.398 0.296 0.961 1
Mg11 Mg 0.491 0.500 0.595 1
Zn1 Zn 0.008 0.500 0.508 1
Zn2 Zn 0.194 0.304 0.108 1
Zn3 Zn 0.266 0.404 0.655 1
Zn4 Zn 0.349 0.311 0.459 1
Zn5 Zn 0.445 0.406 0.272 1
Zn6 Zn 0.455 0.094 0.969 1
Pt1 Pt 0.360 0.000 0.167 1
```

Output
- Uncorrected energy: -1.77 eV/atom
- Energy relative to the elements: -141 meV per atom
- V: 18.8 Å³ per atom
- Crystal system: monoclinic

Compound: ScSe2F
Source: Alexandria via LeMat-Bulk
Functional: GGA-PBE
Structure: optimized geometry

Geometry as CIF:
```
data_ScSe2F
_chemical_formula_sum 'Sc3 Se6 F3'
_symmetry_space_group_name_H-M 'R -3 m'
_symmetry_Int_Tables_number 166
_symmetry_space_group_name_Hall '-R 3 2"'
_cell_length_a 3.1479
_cell_length_b 3.1479
_cell_length_c 27.4286
_cell_angle_alpha 90.00
_cell_angle_beta 90.00
_cell_angle_gamma 120.00
loop_
_atom_site_label
_atom_site_type_symbol
_atom_site_fract_x
_atom_site_fract_y
_atom_site_fract_z
_atom_site_occupancy
Sc1 Sc 0.0000 0.0000 0.0000 1
Se1 Se 0.0000 0.0000 0.0953 1
F1 F 0.0000 0.0000 0.5000 1
```

Output
- Uncorrected energy: -3.90 eV/atom
- Formation energy (no corrections): -0.1082 eV per atom
- V: 19.6 Å³ per atom
- Excess energy over the best structure of this formula in the dataset: 4.576 eV/f.u.
- Crystal system: trigonal

Compound: PmTiNbO6
Source: Alexandria via LeMat-Bulk
Functional: GGA-PBE
Structure: optimized geometry

Geometry as CIF:
```
data_PmTiNbO6
_chemical_formula_sum 'Pm2 Ti2 Nb2 O12'
_symmetry_space_group_name_H-M 'P -3 1 c'
_symmetry_Int_Tables_number 163
_symmetry_space_group_name_Hall '-P 3 2c'
_cell_length_a 5.2443
_cell_length_b 5.2443
_cell_length_c 10.1027
_cell_angle_alpha 90.00
_cell_angle_beta 90.00
_cell_angle_gamma 120.00
loop_
_atom_site_label
_atom_site_type_symbol
_atom_site_fract_x
_atom_site_fract_y
_atom_site_fract_z
_atom_site_occupancy
Pm1 Pm 0.0000 0.0000 0.0000 1
Ti1 Ti 0.3333 0.6667 0.2500 1
Nb1 Nb 0.3333 0.6667 0.7500 1
O1 O 0.0052 0.3678 0.1418 1
```

Output
- Uncorrected energy: -8.85 eV/atom
- Formation energy (no corrections): -3.0175 eV per atom
- V: 13.4 Å³ per atom
- Crystal system: trigonal

Compound: Fe2As8Ru
Source: Alexandria via LeMat-Bulk
Functional: GGA-PBE
Structure: optimized geometry

Geometry as CIF:
```
data_Fe2As8Ru
_chemical_formula_sum 'Fe4 As16 Ru2'
_symmetry_space_group_name_H-M 'C 1 2/m 1'
_symmetry_Int_Tables_number 12
_cell_length_a 10.907
_cell_length_b 6.998
_cell_length_c 5.340
_cell_angle_alpha 90.00
_cell_angle_beta 95.37
_cell_angle_gamma 90.00
loop_
_symmetry_equiv_pos_as_xyz
'x,y,z'
'-x,-y,-z'
'-x,y,-z'
'x,-y,z'
'x+1/2,y+1/2,z'
'-x+1/2,-y+1/2,-z'
'-x+1/2,y+1/2,-z'
'x+1/2,-y+1/2,z'
loop_
_atom_site_label
_atom_site_type_symbol
_atom_site_fract_x
_atom_site_fract_y
_atom_site_fract_z
_atom_site_occupancy
Fe1 Fe 0.245 0.000 0.285 1
As1 As 0.101 0.000 0.929 1
As2 As 0.115 0.500 0.015 1
As3 As 0.140 0.277 0.408 1
Ru1 Ru 0.000 0.000 0.500 1
```

Output
- Uncorrected energy: -5.73 eV/atom
- Energy relative to the elements: 33 meV per atom
- V: 18.4 Å³ per atom
- Crystal system: monoclinic

Compound: Er2Cu15Si2
Source: Alexandria via LeMat-Bulk
Functional: GGA-PBE
Structure: optimized geometry

Geometry as CIF:
```
data_Er2Cu15Si2
_chemical_formula_sum 'Er6 Cu45 Si6'
_symmetry_space_group_name_H-M 'R -3 m'
_symmetry_Int_Tables_number 166
_symmetry_space_group_name_Hall '-R 3 2"'
_cell_length_a 8.5311
_cell_length_b 8.5311
_cell_length_c 12.4804
_cell_angle_alpha 90.00
_cell_angle_beta 90.00
_cell_angle_gamma 120.00
loop_
_atom_site_label
_atom_site_type_symbol
_atom_site_fract_x
_atom_site_fract_y
_atom_site_fract_z
_atom_site_occupancy
Er1 Er 0.0000 0.0000 0.1557 1
Cu1 Cu 0.0000 0.3028 0.5000 1
Cu2 Cu 0.0000 0.5000 0.0000 1
Cu3 Cu 0.0002 0.5001 0.3455 1
Si1 Si 0.0000 0.0000 0.4026 1
```

Output
- Uncorrected energy: -4.43 eV/atom
- Formation energy (no corrections): -0.1404 eV per atom
- V: 13.8 Å³ per atom
- Crystal system: trigonal

Compound: TiCuN2O
Source: Alexandria via LeMat-Bulk
Functional: GGA-PBE
Structure: optimized geometry

Geometry as CIF:
```
data_TiCuN2O
_chemical_formula_sum 'Ti1 Cu1 N2 O1'
_symmetry_space_group_name_H-M 'P 4/m m m'
_symmetry_Int_Tables_number 123
_symmetry_space_group_name_Hall '-P 4 2'
_cell_length_a 3.674
_cell_length_b 3.674
_cell_length_c 3.677
_cell_angle_alpha 90.00
_cell_angle_beta 90.00
_cell_angle_gamma 90.00
loop_
_atom_site_label
_atom_site_type_symbol
_atom_site_fract_x
_atom_site_fract_y
_atom_site_fract_z
_atom_site_occupancy
Ti1 Ti 0.000 0.000 0.000 1
Cu1 Cu 0.500 0.500 0.500 1
N1 N 0.000 0.500 0.500 1
O1 O 0.500 0.500 0.000 1
```

Output
- Uncorrected energy: -6.25 eV/atom
- Formation energy (no corrections): 0.4725 eV per atom
- V: 9.9 Å³ per atom
- Crystal system: tetragonal